{"formula": "TaHRu3", "functional": "PBE-GGA", "state": "optimized geometry", "lattice_angstrom": [[3.9418, 0.0000, 0.0000], [0.0000, 3.9418, 0.0000], [0.0000, 0.0000, 3.9418]], "species": ["Ta", "H", "Ru", "Ru", "Ru"], "frac_coords": [[0.5000, 0.5000, 0.5000], [0.0000, 0.0000, 0.0000], [0.5000, 0.0000, 0.0000], [0.0000, 0.0000, 0.5000], [0.0000, 0.5000, 0.0000]], "space_group": "Pm-3m, No. 221", "n_ef_per_ev_atom": 1.10, "de_polymorph_ev_per_atom": 0.0000, "magnetic_moment_mub_per_fu": 0.000}


{"formula": "TaHRu3", "functional": "PBE-GGA", "state": "optimized geometry", "lattice_angstrom": [[5.5908, 0.0015, -0.0028], [-2.7079, 4.8912, 0.0020], [1.4006, 2.4711, 4.4832]], "species": ["Ru", "Ru", "Ru", "Ru", "Ru", "Ru", "H", "H", "Ta", "Ta"], "frac_coords": [[0.6444, 0.1980, 0.0697], [0.6327, 0.6960, 0.0714], [0.5558, 0.2673, 0.5771], [0.0590, 0.7654, 0.5803], [0.1340, 0.2024, 0.0683], [0.0560, 0.2772, 0.5788], [0.3357, 0.2230, 0.3245], [0.6023, 0.9897, 0.8242], [0.5719, 0.7712, 0.5499], [0.1095, 0.6850, 0.0985]], "space_group": "C2, No. 5", "n_ef_per_ev_atom": 0.59, "de_polymorph_ev_per_atom": 0.0056, "magnetic_moment_mub_per_fu": 0.000}